(1)
A plane-wave DFT calculation with GGA-PBE was carried out for an optimized crystal structure of Y2HoCuTe5.

a = 9.636 Å, b = 9.636 Å, c = 12.911 Å
α = 90.00°, β = 90.00°, γ = 154.64°
Fractional coordinates of all 18 atoms:
Y (0.109, 0.891, 0.500)
Y (0.124, 0.876, 0.120)
Y (0.876, 0.124, 0.620)
Y (0.891, 0.109, 0.000)
Ho (0.189, 0.811, 0.825)
Ho (0.811, 0.189, 0.325)
Cu (0.429, 0.571, 0.276)
Cu (0.571, 0.429, 0.776)
Te (0.040, 0.960, 0.884)
Te (0.286, 0.714, 0.490)
Te (0.314, 0.686, 0.156)
Te (0.355, 0.645, 0.815)
Te (0.499, 0.501, 0.604)
Te (0.501, 0.499, 0.104)
Te (0.645, 0.355, 0.315)
Te (0.686, 0.314, 0.656)
Te (0.714, 0.286, 0.990)
Te (0.960, 0.040, 0.384)

## Properties
Symmetry ... Cmc2_1 (36)
Magnetic moment ... 0.00 μB per formula unit
Final energy ... -5.275 eV per atom
V ... 513.5 Å³ per cell

=====

(2)
A plane-wave DFT calculation with GGA-PBE was carried out for an optimized crystal structure of HoThCu2.

a = 3.458 Å, b = 3.458 Å, c = 7.242 Å
α = 90.00°, β = 90.00°, γ = 90.00°
Fractional coordinates of all 4 atoms:
Ho (0.000, 0.000, 0.000)
Th (0.000, 0.000, 0.500)
Cu (0.500, 0.500, 0.230)
Cu (0.500, 0.500, 0.770)

## Properties
Relative energy among the computed polymorphs ... 2.2 kJ per mole of atoms
Formation energy from the elements ... -152.4 meV per atom
Symmetry ... P4/mmm (123)
Magnetic moment ... 0.00 μB per formula unit
Final energy ... -5.200 eV per atom
V ... 86.6 Å³ per cell

=====

(3)
A plane-wave DFT calculation with GGA-PBE was carried out for an optimized crystal structure of HoThCu2.

a = 4.987 Å, b = 4.987 Å, c = 4.987 Å
α = 60.00°, β = 60.00°, γ = 60.00°
Fractional coordinates of all 4 atoms:
Ho (0.000, 0.000, 0.000)
Th (0.500, 0.500, 0.500)
Cu (0.250, 0.250, 0.250)
Cu (0.750, 0.750, 0.750)

## Properties
Relative energy among the computed polymorphs ... 3.8 kJ per mole of atoms
Formation energy from the elements ... -135.2 meV per atom
Symmetry ... Fm-3m (225)
Magnetic moment ... 0.00 μB per formula unit
Final energy ... -5.183 eV per atom
V ... 87.7 Å³ per cell

=====

(4)
A plane-wave DFT calculation with GGA-PBE was carried out for an optimized crystal structure of Ho3ThCu2.

a = 3.488 Å, b = 3.488 Å, c = 11.943 Å
α = 90.00°, β = 90.00°, γ = 90.00°
Fractional coordinates of all 6 atoms:
Ho (0.000, 0.000, 0.000)
Ho (0.000, 0.000, 0.286)
Ho (0.000, 0.000, 0.714)
Th (0.500, 0.500, 0.500)
Cu (0.500, 0.500, 0.143)
Cu (0.500, 0.500, 0.857)

## Properties
Formation energy from the elements ... -151.4 meV per atom
Symmetry ... P4/mmm (123)
Magnetic moment ... 0.00 μB per formula unit
Final energy ... -5.042 eV per atom
V ... 145.3 Å³ per cell

=====

(5)
A plane-wave DFT calculation with GGA-PBE was carried out for an optimized crystal structure of HoThCu2.

a = 3.765 Å, b = 4.351 Å, c = 5.730 Å
α = 90.00°, β = 108.88°, γ = 90.00°
Fractional coordinates of all 4 atoms:
Ho (0.000, 0.000, 0.000)
Th (0.287, 0.500, 0.577)
Cu (0.570, 0.500, 0.143)
Cu (0.711, 0.000, 0.423)

## Properties
Relative energy among the computed polymorphs ... 0.0 kJ per mole of atoms
Formation energy from the elements ... -175.0 meV per atom
Symmetry ... Pm (6)
Magnetic moment ... 0.00 μB per formula unit
Final energy ... -5.222 eV per atom
V ... 88.8 Å³ per cell

=====

(6)
A plane-wave DFT calculation with GGA-PBE was carried out for an optimized crystal structure of HoTh2Cu6.

a = 7.472 Å, b = 7.472 Å, c = 3.564 Å
α = 90.00°, β = 90.00°, γ = 120.00°
Fractional coordinates of all 9 atoms:
Ho (0.000, 0.000, 0.000)
Th (0.333, 0.667, 0.000)
Th (0.667, 0.333, 0.000)
Cu (0.000, 0.331, 0.500)
Cu (0.000, 0.669, 0.500)
Cu (0.331, 0.000, 0.500)
Cu (0.331, 0.331, 0.500)
Cu (0.669, 0.000, 0.500)
Cu (0.669, 0.669, 0.500)

## Properties
Formation energy from the elements ... -212.4 meV per atom
Symmetry ... P6/mmm (191)
Magnetic moment ... 0.00 μB per formula unit
Final energy ... -5.101 eV per atom
V ... 172.3 Å³ per cell

=====

(7)
A plane-wave DFT calculation with GGA-PBE was carried out for an optimized crystal structure of HoThCu10.

a = 4.105 Å, b = 5.103 Å, c = 8.743 Å
α = 90.00°, β = 90.00°, γ = 90.00°
Fractional coordinates of all 12 atoms:
Ho (0.000, 0.000, 0.000)
Th (0.000, 0.500, 0.500)
Cu (0.000, 0.000, 0.327)
Cu (0.000, 0.000, 0.673)
Cu (0.000, 0.500, 0.161)
Cu (0.000, 0.500, 0.839)
Cu (0.500, 0.000, 0.500)
Cu (0.500, 0.250, 0.248)
Cu (0.500, 0.250, 0.752)
Cu (0.500, 0.500, 0.000)
Cu (0.500, 0.750, 0.248)
Cu (0.500, 0.750, 0.752)

## Properties
Formation energy from the elements ... -166.3 meV per atom
Symmetry ... Pmmm (47)
Magnetic moment ... 0.00 μB per formula unit
Final energy ... -4.580 eV per atom
V ... 183.2 Å³ per cell

=====

(8)
A plane-wave DFT calculation with GGA-PBE was carried out for an optimized crystal structure of Ho5ThCu6.

a = 8.522 Å, b = 8.522 Å, c = 8.522 Å
α = 146.35°, β = 132.06°, γ = 59.85°
Fractional coordinates of all 12 atoms:
Ho (0.000, 0.000, 0.000)
Ho (0.166, 0.666, 0.500)
Ho (0.330, 0.330, 0.000)
Ho (0.670, 0.670, 0.000)
Ho (0.834, 0.334, 0.500)
Th (0.500, 0.000, 0.500)
Cu (0.083, 0.833, 0.251)
Cu (0.250, 0.500, 0.750)
Cu (0.418, 0.167, 0.251)
Cu (0.582, 0.833, 0.749)
Cu (0.750, 0.500, 0.250)
Cu (0.917, 0.167, 0.749)

## Properties
Formation energy from the elements ... -222.8 meV per atom
Symmetry ... Immm (71)
Magnetic moment ... 0.00 μB per formula unit
Final energy ... -4.797 eV per atom
V ... 252.3 Å³ per cell